(1)
A relaxed AcHo2Au crystal, computed with PBE-GGA.

```
AcHo2Au
1.0
3.8900 0.0000 0.0000
1.9450 3.3689 0.0000
1.9450 1.1230 9.9864
Ac Au Ho
1 1 2
direct
0.5000 0.5000 0.5000
0.0000 0.0000 0.0000
0.2708 0.2708 0.1876
0.7292 0.7292 0.8124
```

Summary:
For the magnetic moment, the calculation gives 0.000 μB per atom. For the formation energy, the calculation gives -290 meV per atom. As for the symmetry: R-3m (166). The value obtained for the total energy is -4.426 eV/atom. The volume comes out at 131 Å³/cell.


(2)
A relaxed AcHo2Au crystal, computed with PBE-GGA.

```
AcHo2Au
1.0
-0.2714 0.3575 -3.6525
3.4442 -1.2400 -0.3773
-3.0518 -8.2983 -0.5853
Ac Au Ho
1 1 2
direct
0.5000 0.5000 0.5000
0.5000 0.5000 0.0000
0.0000 0.0000 0.8095
0.0000 0.0000 0.1905
```

Summary:
For the magnetic moment, the calculation gives 0.000 μB per atom. For the formation energy, the calculation gives -382 meV per atom. As for the symmetry: P4/mmm (123). The value obtained for the total energy is -4.518 eV/atom. The volume comes out at 120 Å³/cell.


(3)
A relaxed Ac2HoAu crystal, computed with PBE-GGA.

```
Ac2HoAu
1.0
3.9209 0.0000 0.0000
0.0000 3.9209 0.0000
0.0000 0.0000 8.9230
Ac Au Ho
2 1 1
direct
0.0000 0.0000 0.7852
0.0000 0.0000 0.2148
0.5000 0.5000 0.0000
0.5000 0.5000 0.5000
```

Summary:
For the magnetic moment, the calculation gives 0.000 μB per atom. For the formation energy, the calculation gives -324 meV per atom. As for the symmetry: P4/mmm (123). The value obtained for the total energy is -4.342 eV/atom. The volume comes out at 137 Å³/cell.


(4)
A relaxed AcHoAu2 crystal, computed with PBE-GGA.

```
AcHoAu2
1.0
-2.5712 2.9357 -3.6303
-4.8517 -1.4586 -1.6559
-4.2708 2.8548 1.4207
Ac Au Ho
1 2 1
direct
0.5000 0.5000 0.5000
0.2500 0.2500 0.2500
0.7500 0.7500 0.7500
0.0000 0.0000 0.0000
```

Summary:
For the magnetic moment, the calculation gives 0.000 μB per atom. For the formation energy, the calculation gives -746 meV per atom. As for the symmetry: Fm-3m (225). The value obtained for the total energy is -4.557 eV/atom. The volume comes out at 107 Å³/cell.


(5)
A relaxed Ac2Ho3Au4 crystal, computed with PBE-GGA.

```
Ac2Ho3Au4
1.0
-7.4949 3.9931 -1.5933
-0.8739 -7.8424 -0.2082
-1.6373 -0.0206 7.6501
Ac Ho Au
4 6 8
direct
0.5884 0.1942 0.3295
0.9116 0.8058 0.8295
0.4116 0.8058 0.6705
0.0884 0.1942 0.1705
0.0000 0.5000 0.5000
0.5000 0.5000 0.0000
0.7499 0.2491 0.8494
0.7501 0.7509 0.3494
0.2501 0.7509 0.1506
0.2499 0.2491 0.6506
0.8795 0.0996 0.5520
0.6205 0.9004 0.0520
0.1205 0.9004 0.4480
0.3795 0.0996 0.9480
0.8785 0.5164 0.1374
0.6215 0.4836 0.6374
0.1215 0.4836 0.8626
0.3785 0.5164 0.3626
```

Summary:
For the magnetic moment, the calculation gives 0.000 μB per atom. For the formation energy, the calculation gives -764 meV per atom. As for the symmetry: P2_1/c (14). The value obtained for the total energy is -4.660 eV/atom. The volume comes out at 498 Å³/cell.


(6)
A relaxed AcHoAu2 crystal, computed with PBE-GGA.

```
AcHoAu2
1.0
-3.5553 0.0812 -1.0297
1.0185 -0.3380 -3.5433
-0.3536 -7.5889 0.6224
Ac Au Ho
1 2 1
direct
0.5000 0.5000 0.5000
0.0000 0.0000 0.7883
0.0000 0.0000 0.2117
0.5000 0.5000 0.0000
```

Summary:
For the magnetic moment, the calculation gives 0.000 μB per atom. For the formation energy, the calculation gives -808 meV per atom. As for the symmetry: P4/mmm (123). The value obtained for the total energy is -4.618 eV/atom. The volume comes out at 104 Å³/cell.


(7)
A relaxed AcHo3Au2 crystal, computed with PBE-GGA.

```
AcHo3Au2
1.0
-1.0287 -1.7486 4.5697
-4.6799 -4.9677 -2.9544
6.8128 -5.9713 -0.7513
Ac Ho Au
2 6 4
direct
0.5000 0.5139 0.5772
0.5000 0.0139 0.4228
0.0000 0.4825 0.9300
0.0000 0.9825 0.0700
0.5000 0.6459 0.1624
0.5000 0.1459 0.8376
0.0000 0.3541 0.3172
0.0000 0.8541 0.6828
0.5000 0.7593 0.8594
0.5000 0.2593 0.1406
0.0000 0.2443 0.6628
0.0000 0.7443 0.3372
```

Summary:
For the magnetic moment, the calculation gives 0.000 μB per atom. For the formation energy, the calculation gives -583 meV per atom. As for the symmetry: Pmc2_1 (26). The value obtained for the total energy is -4.649 eV/atom. The volume comes out at 338 Å³/cell.


(8)
A relaxed AcLaHoAu crystal, computed with PBE-GGA.

```
AcLaHoAu
1.0
5.5359 0.0000 0.0000
2.7679 4.7942 0.0000
2.7679 1.5981 4.5200
Ac Au Ho La
1 1 1 1
direct
0.5000 0.5000 0.5000
0.0000 0.0000 0.0000
0.7500 0.7500 0.7500
0.2500 0.2500 0.2500
```

Summary:
For the magnetic moment, the calculation gives 0.523 μB per atom. For the formation energy, the calculation gives -35 meV per atom. As for the symmetry: F-43m (216). The value obtained for the total energy is -4.257 eV/atom. The volume comes out at 120 Å³/cell.


(9)
A relaxed LiAcHo2Au4 crystal, computed with PBE-GGA.

```
LiAcHo2Au4
1.0
4.9970 0.0000 0.0000
2.4985 4.3275 0.0000
2.4985 1.4425 8.9005
Li Ac Ho Au
1 1 2 4
direct
0.5000 0.5000 0.5000
0.0000 0.0000 0.0000
0.7683 0.7683 0.6952
0.2317 0.2317 0.3048
0.3985 0.3985 0.8044
0.8786 0.8786 0.3642
0.1214 0.1214 0.6358
0.6015 0.6015 0.1956
```

Summary:
For the magnetic moment, the calculation gives 0.000 μB per atom. For the formation energy, the calculation gives -752 meV per atom. As for the symmetry: R-3m (166). The value obtained for the total energy is -4.288 eV/atom. The volume comes out at 192 Å³/cell.


(10)
A relaxed Li2AcHoAu4 crystal, computed with PBE-GGA.

```
Li2AcHoAu4
1.0
-2.8730 0.6153 3.5512
-4.5114 -0.7855 -0.5227
-1.1661 -9.2543 3.6510
Li Ac Ho Au
2 1 1 4
direct
0.7598 0.7598 0.7206
0.2402 0.2402 0.2794
0.0000 0.0000 0.0000
0.5000 0.5000 0.5000
0.3977 0.3977 0.8069
0.8839 0.8839 0.3483
0.1161 0.1161 0.6517
0.6023 0.6023 0.1931
```

Summary:
For the magnetic moment, the calculation gives 0.000 μB per atom. For the formation energy, the calculation gives -720 meV per atom. As for the symmetry: R-3m (166). The value obtained for the total energy is -3.923 eV/atom. The volume comes out at 178 Å³/cell.


(11)
A relaxed LiAcHoAu crystal, computed with PBE-GGA.

```
LiAcHoAu
1.0
5.3562 0.0000 0.0000
2.6781 4.6386 0.0000
2.6781 1.5462 4.3733
Ac Au Ho Li
1 1 1 1
direct
0.7500 0.7500 0.7500
0.0000 0.0000 0.0000
0.2500 0.2500 0.2500
0.5000 0.5000 0.5000
```

Summary:
For the magnetic moment, the calculation gives 0.000 μB per atom. For the formation energy, the calculation gives -309 meV per atom. As for the symmetry: F-43m (216). The value obtained for the total energy is -3.778 eV/atom. The volume comes out at 109 Å³/cell.


(12)
A relaxed AcHoMgAu crystal, computed with PBE-GGA.

```
AcHoMgAu
1.0
5.4355 0.0000 0.0000
2.7177 4.7073 0.0000
2.7177 1.5691 4.4381
Mg Ac Au Ho
1 1 1 1
direct
0.5000 0.5000 0.5000
0.7500 0.7500 0.7500
0.0000 0.0000 0.0000
0.2500 0.2500 0.2500
```

Summary:
For the magnetic moment, the calculation gives 0.000 μB per atom. For the formation energy, the calculation gives -329 meV per atom. As for the symmetry: F-43m (216). The value obtained for the total energy is -3.719 eV/atom. The volume comes out at 114 Å³/cell.


(13)
A relaxed Ac2HoMgAu6 crystal, computed with PBE-GGA.

```
Ac2HoMgAu6
1.0
-0.8171 -4.4556 7.3436
-4.0684 -3.9581 -0.9412
1.9316 -7.8656 3.6060
Ac Ho Mg Au
2 1 1 6
direct
0.1897 0.6663 0.6073
0.8103 0.3337 0.3927
0.5000 0.5000 0.0000
0.0000 0.0000 0.0000
0.4504 0.7888 0.6910
0.6578 0.8841 0.0258
0.0390 0.2523 0.5833
0.5496 0.2112 0.3090
0.3422 0.1159 0.9742
0.9610 0.7477 0.4167
```

Summary:
For the magnetic moment, the calculation gives 0.000 μB per atom. For the formation energy, the calculation gives -679 meV per atom. As for the symmetry: P-1 (2). The value obtained for the total energy is -4.084 eV/atom. The volume comes out at 252 Å³/cell.